This record from Alexandria describes crystalline La3Tb7Pm2 at its relaxed geometry. The functional is PBE-GGA.

Cell and atoms, written as POSCAR:
```
La3Tb7Pm2
1.0
3.6365 0.0000 0.0000
-0.0001 5.8115 0.0000
-1.8144 -1.0684 19.3878
La Tb Pm
3 7 2
direct
0.0000 0.0000 0.0000
0.3211 0.2756 0.6413
0.6789 0.7244 0.3587
0.0852 0.6920 0.1712
0.2290 0.2424 0.4581
0.4298 0.8117 0.8592
0.5000 0.5000 0.0000
0.5702 0.1883 0.1408
0.7710 0.7576 0.5419
0.9148 0.3080 0.8288
0.1434 0.2134 0.2876
0.8566 0.7866 0.7124
```

Output
magnetization = 0.000 μB/cell
formation enthalpy at 0 K = 0.089 eV/atom
space-group type = No. 2
VASP energy = -4.635 eV/atom

=====

This record from Alexandria describes crystalline La4TbPm7 at its relaxed geometry. The functional is PBE-GGA.

Cell and atoms, written as POSCAR:
```
La4TbPm7
1.0
6.1169 -3.0623 0.0000
6.1169 3.0623 0.0000
-5.9978 0.0000 11.6381
La Tb Pm
4 1 7
direct
0.0547 0.0547 0.3341
0.3615 0.3615 0.2220
0.6385 0.6385 0.7780
0.9453 0.9453 0.6659
0.5000 0.5000 0.0000
0.0000 0.0000 0.0000
0.2108 0.2108 0.9231
0.2598 0.2598 0.6899
0.3636 0.3636 0.4962
0.6364 0.6364 0.5038
0.7402 0.7402 0.3101
0.7892 0.7892 0.0769
```

Output
magnetization = 0.000 μB/cell
formation enthalpy at 0 K = 0.229 eV/atom
space-group type = No. 12
VASP energy = -4.571 eV/atom